No. 1
A relaxed LiBeMoH2 crystal. Source: Alexandria via LeMat-Bulk, functional GGA-PBE.

Cell and atoms, written as POSCAR:
```
LiBeMoH2
1.0
3.2882 0.0000 0.0000
0.0000 3.8187 0.0000
0.0000 0.0000 3.2882
Be Mo H Li
1 1 2 1
Direct
0.0000 0.5000 0.0000 Be
0.5000 0.5000 0.5000 Mo
0.0000 0.0000 0.5000 H
0.5000 0.0000 0.0000 H
0.0000 0.0000 0.0000 Li
```

---

No. 2
A relaxed Na2LiBeH5 crystal. Source: Alexandria via LeMat-Bulk, functional GGA-PBE.

Cell and atoms, written as POSCAR:
```
Na2LiBeH5
1.0
-2.4244 -1.2123 -1.0483
4.2266 -5.2776 0.3570
-2.9799 -1.7810 8.9508
Na Li Be H
4 2 2 10
Direct
0.8670 0.7340 0.8306 Na
0.1256 0.2512 0.6774 Na
0.1330 0.2660 0.3306 Na
0.8744 0.7488 0.1774 Na
0.7957 0.5915 0.5380 Li
0.2043 0.4085 0.0380 Li
0.5634 0.1269 0.9226 Be
0.4366 0.8731 0.4226 Be
0.3449 0.6899 0.0078 H
0.6694 0.3388 0.8938 H
0.5093 0.0186 0.7951 H
0.3046 0.6092 0.6684 H
0.9555 0.9110 0.4902 H
0.6551 0.3101 0.5078 H
0.3306 0.6612 0.3938 H
0.4907 0.9814 0.2951 H
0.6954 0.3908 0.1684 H
0.0445 0.0890 0.9902 H
```

---

No. 3
A relaxed NaLi2BeH crystal. Source: Alexandria via LeMat-Bulk, functional GGA-PBE.

Cell and atoms, written as POSCAR:
```
NaLi2BeH
1.0
-1.4875 4.0078 3.0762
-2.8813 -1.2285 0.2072
1.4684 -2.7254 4.2608
Na Li H Be
1 2 1 1
Direct
0.5000 0.5000 0.5000 Na
0.0000 0.0000 0.5000 Li
0.5000 0.0000 0.0000 Li
0.0000 0.5000 0.0000 H
0.0000 0.0000 0.0000 Be
```

---

No. 4
A relaxed NaLiBeH4 crystal. Source: Alexandria via LeMat-Bulk, functional GGA-PBE.

Cell and atoms, written as POSCAR:
```
NaLiBeH4
1.0
-3.2245 -3.1053 -1.2432
2.8367 -3.6112 1.6623
-1.1279 1.7601 5.7485
Na Li Be H
2 2 2 8
Direct
0.7050 0.7500 0.9242 Na
0.2950 0.2500 0.0758 Na
0.7921 0.7500 0.4685 Li
0.2079 0.2500 0.5315 Li
0.2278 0.7500 0.3186 Be
0.7722 0.2500 0.6814 Be
0.9726 0.4824 0.7276 H
0.0274 0.9824 0.2724 H
0.0274 0.5176 0.2724 H
0.9726 0.0176 0.7276 H
0.4167 0.7500 0.1713 H
0.5833 0.2500 0.8287 H
0.4059 0.7500 0.5531 H
0.5941 0.2500 0.4469 H
```

---

No. 5
A relaxed LiNdBe2H8 crystal. Source: Alexandria via LeMat-Bulk, functional GGA-PBE.

Cell and atoms, written as POSCAR:
```
LiNdBe2H8
1.0
4.4084 0.0000 0.0000
-2.2042 3.8178 0.0000
0.0000 0.0000 6.5767
Li Nd Be H
1 1 2 8
Direct
0.0000 0.0000 0.5000 Li
0.0000 0.0000 0.0000 Nd
0.6667 0.3333 0.2463 Be
0.3333 0.6667 0.7537 Be
0.3333 0.6667 0.9811 H
0.3286 0.2714 0.2931 H
0.7286 0.0572 0.2931 H
0.6667 0.3333 0.0189 H
0.2714 0.9428 0.7069 H
0.6714 0.7286 0.7069 H
0.0572 0.3286 0.7069 H
0.9428 0.6714 0.2931 H
```

---

No. 6
A relaxed Li2BeNiH6 crystal. Source: Alexandria via LeMat-Bulk, functional GGA-PBE.

Cell and atoms, written as POSCAR:
```
Li2BeNiH6
1.0
-1.6266 4.2047 0.3472
-4.2479 0.8926 -1.2666
-4.4722 0.1220 7.0137
Li Be Ni H
4 2 2 12
Direct
0.8770 0.8770 0.3689 Li
0.1230 0.1230 0.6311 Li
0.6996 0.6996 0.9012 Li
0.3004 0.3004 0.0988 Li
0.5890 0.5890 0.2328 Be
0.4110 0.4110 0.7672 Be
0.0000 0.0000 0.0000 Ni
0.5000 0.5000 0.5000 Ni
0.8640 0.3817 0.3726 H
0.3817 0.8640 0.3726 H
0.3817 0.3817 0.3726 H
0.1360 0.6183 0.6274 H
0.6183 0.1360 0.6274 H
0.6183 0.6183 0.6274 H
0.7038 0.2089 0.8783 H
0.2089 0.7038 0.8783 H
0.2089 0.2089 0.8783 H
0.2962 0.7911 0.1217 H
0.7911 0.2962 0.1217 H
0.7911 0.7911 0.1217 H
```

---

| no. | total DFT energy (no corrections) (eV/atom) |
| --- | --- |
| 1 | -3.9960 |
| 2 | -2.9640 |
| 3 | -1.9884 |
| 4 | -3.1891 |
| 5 | -3.7181 |
| 6 | -3.5141 |